Material: Ag3BPt
Method: DFT, PBEsol
State: optimized geometry

Structure (POSCAR):
```
Ag3BPt
1.0
4.9903 0.0000 0.0000
0.0000 4.9903 0.0000
0.0000 0.0000 4.9903
Ag B Pt
3 1 1
direct
0.0000 0.0000 0.5000 Ag
0.0000 0.5000 0.0000 Ag
0.5000 0.0000 0.0000 Ag
0.5000 0.5000 0.5000 B
0.0000 0.0000 0.0000 Pt
```

Computed properties:
M_tot	0.0	Bohr magnetons per cell
density of states at the Fermi level	3.6	states/eV/f.u.
space-group type	Pm-3m (221)
energy	-2.944	eV per atom
mass density	7.1	g/cm3


Material: Ag2BPt2
Method: DFT, PBEsol
State: optimized geometry

Structure (POSCAR):
```
Ag2BPt2
1.0
5.5703 0.0000 0.0000
0.0000 5.5703 0.0000
0.0000 0.0000 4.8019
Ag B Pt
4 2 4
direct
0.1702 0.3298 0.0000 Ag
0.3298 0.8298 0.0000 Ag
0.6702 0.1702 0.0000 Ag
0.8298 0.6702 0.0000 Ag
0.0000 0.0000 0.5000 B
0.5000 0.5000 0.5000 B
0.1644 0.6644 0.5000 Pt
0.3356 0.1644 0.5000 Pt
0.6644 0.8356 0.5000 Pt
0.8356 0.3356 0.5000 Pt
```

Computed properties:
M_tot	0.0	Bohr magnetons per cell
density of states at the Fermi level	0.7	states/eV/f.u.
space-group type	P4/mbm (127)
energy	-5.642	eV per atom
mass density	13.7	g/cm3


Material: AgB2Pt2
Method: DFT, PBEsol
State: optimized geometry

Structure (POSCAR):
```
AgB2Pt2
1.0
-1.5969 1.5969 6.0996
1.5969 -1.5969 6.0996
1.5969 1.5969 -6.0996
Ag B Pt
1 2 2
direct
0.0000 0.0000 0.0000 Ag
0.2500 0.7500 0.5000 B
0.7500 0.2500 0.5000 B
0.3650 0.3650 0.0000 Pt
0.6350 0.6350 0.0000 Pt
```

Computed properties:
M_tot	0.0	Bohr magnetons per cell
density of states at the Fermi level	1.1	states/eV/f.u.
space-group type	I4/mmm (139)
energy	-6.379	eV per atom
mass density	13.9	g/cm3


Material: Ag2BPtW
Method: DFT, PBEsol
State: optimized geometry

Structure (POSCAR):
```
Ag2BPtW
1.0
4.9926 0.0000 0.0000
0.0000 4.9926 0.0000
0.0000 0.0000 3.8218
Ag B Pt W
2 1 1 1
direct
0.0000 0.5000 0.0000 Ag
0.5000 0.0000 0.0000 Ag
0.0000 0.0000 0.5000 B
0.0000 0.0000 0.0000 Pt
0.5000 0.5000 0.5000 W
```

Computed properties:
M_tot	3.3	Bohr magnetons per cell
density of states at the Fermi level	2.8	states/eV/f.u.
space-group type	P4/mmm (123)
energy	-5.260	eV per atom
mass density	10.6	g/cm3